1.
# PBE AcNd8Ho6, optimized geometry
# - Formation energy from the elements: 291 kJ/mol of formula units
# - N(E_F): 1.354 states/eV per atom
data_AcNd8Ho6
_cell_length_a 9.586
_cell_length_b 9.586
_cell_length_c 6.657
_cell_angle_alpha 90.00
_cell_angle_beta 90.00
_cell_angle_gamma 120.00
_symmetry_space_group_name_H-M 'P 1'
_symmetry_Int_Tables_number 1
loop_
_symmetry_equiv_pos_as_xyz
'x,y,z'
loop_
_atom_site_label
_atom_site_type_symbol
_atom_site_fract_x
_atom_site_fract_y
_atom_site_fract_z
Ac1 Ac 0.000 0.000 0.000
Nd1 Nd 0.016 0.688 0.608
Nd2 Nd 0.312 0.328 0.608
Nd3 Nd 0.328 0.016 0.392
Nd4 Nd 0.333 0.667 0.330
Nd5 Nd 0.667 0.333 0.670
Nd6 Nd 0.672 0.984 0.608
Nd7 Nd 0.688 0.672 0.392
Nd8 Nd 0.984 0.312 0.392
Ho1 Ho 0.090 0.415 0.896
Ho2 Ho 0.325 0.910 0.896
Ho3 Ho 0.415 0.325 0.104
Ho4 Ho 0.585 0.675 0.896
Ho5 Ho 0.675 0.090 0.104
Ho6 Ho 0.910 0.585 0.104

2.
# PBE Ac2Nd3Ho2, optimized geometry
# - Formation energy from the elements: 32 kJ/mol of formula units
# - N(E_F): 1.649 states/eV per atom
data_Ac2Nd3Ho2
_cell_length_a 11.837
_cell_length_b 5.259
_cell_length_c 8.343
_cell_angle_alpha 90.00
_cell_angle_beta 98.11
_cell_angle_gamma 90.00
_symmetry_space_group_name_H-M 'P 1'
_symmetry_Int_Tables_number 1
loop_
_symmetry_equiv_pos_as_xyz
'x,y,z'
loop_
_atom_site_label
_atom_site_type_symbol
_atom_site_fract_x
_atom_site_fract_y
_atom_site_fract_z
Ac1 Ac 0.143 0.000 0.424
Ac2 Ac 0.357 0.500 0.576
Ac3 Ac 0.643 0.500 0.424
Ac4 Ac 0.857 0.000 0.576
Nd1 Nd 0.000 0.000 0.000
Nd2 Nd 0.071 0.500 0.727
Nd3 Nd 0.429 0.000 0.273
Nd4 Nd 0.500 0.500 0.000
Nd5 Nd 0.571 0.000 0.727
Nd6 Nd 0.929 0.500 0.273
Ho1 Ho 0.218 0.500 0.134
Ho2 Ho 0.282 0.000 0.866
Ho3 Ho 0.718 0.000 0.134
Ho4 Ho 0.782 0.500 0.866

3.
# PBE Ac2Nd4Ho3, optimized geometry
# - Formation energy from the elements: 69 kJ/mol of formula units
# - Excess energy over the best structure of this formula in the dataset: 34 meV per atom
# - N(E_F): 1.823 states/eV per atom
data_Ac2Nd4Ho3
_cell_length_a 3.722
_cell_length_b 3.722
_cell_length_c 27.411
_cell_angle_alpha 90.00
_cell_angle_beta 90.00
_cell_angle_gamma 120.00
_symmetry_space_group_name_H-M 'P 1'
_symmetry_Int_Tables_number 1
loop_
_symmetry_equiv_pos_as_xyz
'x,y,z'
loop_
_atom_site_label
_atom_site_type_symbol
_atom_site_fract_x
_atom_site_fract_y
_atom_site_fract_z
Ac1 Ac 0.000 0.000 0.000
Ac2 Ac 0.000 0.000 0.220
Nd1 Nd 0.000 0.000 0.356
Nd2 Nd 0.000 0.000 0.563
Nd3 Nd 0.333 0.667 0.673
Nd4 Nd 0.333 0.667 0.882
Ho1 Ho 0.000 0.000 0.778
Ho2 Ho 0.333 0.667 0.111
Ho3 Ho 0.333 0.667 0.458

4.
# PBE Ac2Nd8Ho3, optimized geometry
# - Formation energy from the elements: 340 kJ/mol of formula units
# - Excess energy over the best structure of this formula in the dataset: 86 meV per atom
# - N(E_F): 1.535 states/eV per atom
data_Ac2Nd8Ho3
_cell_length_a 13.141
_cell_length_b 13.141
_cell_length_c 13.141
_cell_angle_alpha 29.50
_cell_angle_beta 29.50
_cell_angle_gamma 29.50
_symmetry_space_group_name_H-M 'P 1'
_symmetry_Int_Tables_number 1
loop_
_symmetry_equiv_pos_as_xyz
'x,y,z'
loop_
_atom_site_label
_atom_site_type_symbol
_atom_site_fract_x
_atom_site_fract_y
_atom_site_fract_z
Ac1 Ac 0.140 0.140 0.140
Ac2 Ac 0.860 0.860 0.860
Nd1 Nd 0.220 0.220 0.720
Nd2 Nd 0.220 0.720 0.220
Nd3 Nd 0.227 0.227 0.227
Nd4 Nd 0.280 0.780 0.780
Nd5 Nd 0.720 0.220 0.220
Nd6 Nd 0.773 0.773 0.773
Nd7 Nd 0.780 0.280 0.780
Nd8 Nd 0.780 0.780 0.280
Ho1 Ho 0.312 0.312 0.312
Ho2 Ho 0.500 0.500 0.500
Ho3 Ho 0.688 0.688 0.688

5.
# PBE Ac2NdHo2, optimized geometry
# - Formation energy from the elements: 43 kJ/mol of formula units
# - N(E_F): 1.400 states/eV per atom
data_Ac2NdHo2
_cell_length_a 9.513
_cell_length_b 9.513
_cell_length_c 6.512
_cell_angle_alpha 106.16
_cell_angle_beta 106.16
_cell_angle_gamma 41.70
_symmetry_space_group_name_H-M 'P 1'
_symmetry_Int_Tables_number 1
loop_
_symmetry_equiv_pos_as_xyz
'x,y,z'
loop_
_atom_site_label
_atom_site_type_symbol
_atom_site_fract_x
_atom_site_fract_y
_atom_site_fract_z
Ac1 Ac 0.043 0.341 0.194
Ac2 Ac 0.341 0.043 0.694
Ac3 Ac 0.659 0.957 0.306
Ac4 Ac 0.957 0.659 0.806
Nd1 Nd 0.078 0.922 0.750
Nd2 Nd 0.922 0.078 0.250
Ho1 Ho 0.298 0.529 0.341
Ho2 Ho 0.471 0.702 0.159
Ho3 Ho 0.529 0.298 0.841
Ho4 Ho 0.702 0.471 0.659

6.
# PBE Ac6Nd8Ho, optimized geometry
# - Formation energy from the elements: 161 kJ/mol of formula units
# - N(E_F): 1.564 states/eV per atom
data_Ac6Nd8Ho
_cell_length_a 9.206
_cell_length_b 9.206
_cell_length_c 9.206
_cell_angle_alpha 62.71
_cell_angle_beta 62.71
_cell_angle_gamma 62.71
_symmetry_space_group_name_H-M 'P 1'
_symmetry_Int_Tables_number 1
loop_
_symmetry_equiv_pos_as_xyz
'x,y,z'
loop_
_atom_site_label
_atom_site_type_symbol
_atom_site_fract_x
_atom_site_fract_y
_atom_site_fract_z
Ac1 Ac 0.043 0.590 0.739
Ac2 Ac 0.261 0.957 0.410
Ac3 Ac 0.410 0.261 0.957
Ac4 Ac 0.590 0.739 0.043
Ac5 Ac 0.739 0.043 0.590
Ac6 Ac 0.957 0.410 0.261
Nd1 Nd 0.075 0.075 0.075
Nd2 Nd 0.207 0.612 0.263
Nd3 Nd 0.263 0.207 0.612
Nd4 Nd 0.388 0.737 0.793
Nd5 Nd 0.612 0.263 0.207
Nd6 Nd 0.737 0.793 0.388
Nd7 Nd 0.793 0.388 0.737
Nd8 Nd 0.925 0.925 0.925
Ho1 Ho 0.500 0.500 0.500

7.
# PBE AcNdHo, optimized geometry
# - Formation energy from the elements: 18 kJ/mol of formula units
# - Excess energy over the best structure of this formula in the dataset: 12 meV per atom
# - N(E_F): 1.738 states/eV per atom
data_AcNdHo
_cell_length_a 3.701
_cell_length_b 5.703
_cell_length_c 10.669
_cell_angle_alpha 90.00
_cell_angle_beta 99.98
_cell_angle_gamma 90.00
_symmetry_space_group_name_H-M 'P 1'
_symmetry_Int_Tables_number 1
loop_
_symmetry_equiv_pos_as_xyz
'x,y,z'
loop_
_atom_site_label
_atom_site_type_symbol
_atom_site_fract_x
_atom_site_fract_y
_atom_site_fract_z
Ac1 Ac 0.205 0.250 0.407
Ac2 Ac 0.795 0.750 0.593
Nd1 Nd 0.036 0.250 0.073
Nd2 Nd 0.964 0.750 0.927
Ho1 Ho 0.386 0.250 0.774
Ho2 Ho 0.614 0.750 0.226

8.
# PBE AcNd6Ho2, optimized geometry
# - Formation energy from the elements: 57 kJ/mol of formula units
# - Excess energy over the best structure of this formula in the dataset: 9 meV per atom
# - N(E_F): 1.557 states/eV per atom
data_AcNd6Ho2
_cell_length_a 3.686
_cell_length_b 3.686
_cell_length_c 27.382
_cell_angle_alpha 90.00
_cell_angle_beta 90.00
_cell_angle_gamma 120.00
_symmetry_space_group_name_H-M 'P 1'
_symmetry_Int_Tables_number 1
loop_
_symmetry_equiv_pos_as_xyz
'x,y,z'
loop_
_atom_site_label
_atom_site_type_symbol
_atom_site_fract_x
_atom_site_fract_y
_atom_site_fract_z
Ac1 Ac 0.000 0.000 0.000
Nd1 Nd 0.000 0.000 0.226
Nd2 Nd 0.000 0.000 0.434
Nd3 Nd 0.000 0.000 0.566
Nd4 Nd 0.000 0.000 0.774
Nd5 Nd 0.333 0.667 0.117
Nd6 Nd 0.333 0.667 0.883
Ho1 Ho 0.333 0.667 0.332
Ho2 Ho 0.333 0.667 0.668